# 1
YTeP3 after structural relaxation, computed with GGA-PBE.

Unit cell a=5.262 b=5.262 c=5.262 alpha=90.00 beta=90.00 gamma=90.00
Sites, in units of the cell vectors:
P 0.000 0.500 0.000
P 0.000 0.000 0.500
P 0.500 0.000 0.000
Y 0.000 0.000 0.000
Te 0.500 0.500 0.500

Summary:
The value obtained for the offset from the most stable computed form is 1.477 eV/f.u. The raw formation energy is 0.78 eV per atom. For the total energy, the calculation gives -21.939 eV per formula unit.

# 2
YTe3P after structural relaxation, computed with GGA-PBE.

Unit cell a=5.241 b=5.241 c=5.241 alpha=90.00 beta=90.00 gamma=90.00
Sites, in units of the cell vectors:
Te 0.000 0.500 0.000
Te 0.500 0.000 0.000
Te 0.000 0.000 0.500
Y 0.500 0.500 0.500
P 0.000 0.000 0.000

Summary:
The value obtained for the offset from the most stable computed form is 0.000 eV/f.u. The raw formation energy is -0.17 eV per atom. For the total energy, the calculation gives -22.145 eV per formula unit.

# 3
Y2TeP after structural relaxation, computed with GGA-PBE.

Unit cell a=3.650 b=3.650 c=7.558 alpha=90.00 beta=90.00 gamma=101.01
Sites, in units of the cell vectors:
Y 0.000 0.000 0.723
Y 0.000 0.000 0.277
P 0.500 0.500 0.500
Te 0.500 0.500 0.000

Summary:
The value obtained for the offset from the most stable computed form is 1.825 eV/f.u. The raw formation energy is -1.12 eV per atom. For the total energy, the calculation gives -25.947 eV per formula unit.

# 4
YTe2P after structural relaxation, computed with GGA-PBE.

Unit cell a=3.872 b=4.205 c=6.483 alpha=77.27 beta=90.00 gamma=90.00
Sites, in units of the cell vectors:
Y 0.500 0.500 0.500
P 0.500 0.500 0.000
Te 0.000 0.877 0.758
Te 0.000 0.123 0.242

Summary:
The raw formation energy is -0.52 eV per atom. For the total energy, the calculation gives -20.256 eV per formula unit.

# 5
Y2TeP after structural relaxation, computed with GGA-PBE.

Unit cell a=5.133 b=5.133 c=5.133 alpha=60.00 beta=60.00 gamma=60.00
Sites, in units of the cell vectors:
P 0.500 0.500 0.500
Y 0.000 0.000 0.000
Y 0.750 0.750 0.750
Te 0.250 0.250 0.250

Summary:
The value obtained for the offset from the most stable computed form is 5.283 eV/f.u. The raw formation energy is -0.25 eV per atom. For the total energy, the calculation gives -22.490 eV per formula unit.

# 6
YTe2P after structural relaxation, computed with GGA-PBE.

Unit cell a=3.794 b=3.794 c=8.253 alpha=90.00 beta=90.00 gamma=90.00
Sites, in units of the cell vectors:
Te 0.000 0.000 0.949
Te 0.500 0.500 0.334
Y 0.000 0.000 0.570
P 0.500 0.500 0.647

Summary:
The raw formation energy is -0.59 eV per atom. For the total energy, the calculation gives -20.504 eV per formula unit.

# 7
YTe2P after structural relaxation, computed with GGA-PBE.

Unit cell a=4.106 b=4.106 c=6.039 alpha=90.00 beta=90.00 gamma=90.00
Sites, in units of the cell vectors:
Y 0.500 0.500 0.000
P 0.500 0.500 0.500
Te 0.000 0.000 0.748
Te 0.000 0.000 0.252

Summary:
The raw formation energy is -0.34 eV per atom. For the total energy, the calculation gives -19.497 eV per formula unit.

# 8
YTe2P after structural relaxation, computed with GGA-PBE.

Unit cell a=6.181 b=6.181 c=6.181 alpha=139.09 beta=139.09 gamma=59.24
Sites, in units of the cell vectors:
Te 0.250 0.750 0.500
Te 0.000 0.000 0.000
Y 0.500 0.500 0.000
P 0.750 0.250 0.500

Summary:
The raw formation energy is -0.41 eV per atom. For the total energy, the calculation gives -19.777 eV per formula unit.

# 9
YTe2P after structural relaxation, computed with GGA-PBE.

Unit cell a=7.229 b=7.229 c=4.336 alpha=86.63 beta=86.63 gamma=30.54
Sites, in units of the cell vectors:
Y 0.500 0.500 0.500
P 0.000 0.000 0.000
Te 0.826 0.826 0.309
Te 0.174 0.174 0.691

Summary:
The raw formation energy is -0.57 eV per atom. For the total energy, the calculation gives -20.446 eV per formula unit.

# 10
YTe2P after structural relaxation, computed with GGA-PBE.

Unit cell a=5.031 b=5.031 c=4.019 alpha=90.00 beta=90.00 gamma=100.15
Sites, in units of the cell vectors:
P 0.500 0.500 0.500
Y 0.000 0.000 0.500
Te 0.000 0.500 0.000
Te 0.500 0.000 0.000

Summary:
The raw formation energy is -0.33 eV per atom. For the total energy, the calculation gives -19.469 eV per formula unit.

# 11
Y2TeP after structural relaxation, computed with GGA-PBE.

Unit cell a=5.163 b=5.163 c=5.163 alpha=60.00 beta=60.00 gamma=60.00
Each line ends with the local moment (μB).
Sites, in units of the cell vectors:
Te 0.500 0.500 0.500  -0.01
P 0.000 0.000 0.000  -0.01
Y 0.750 0.750 0.750  0.18
Y 0.250 0.250 0.250  0.18

Summary:
The value obtained for the offset from the most stable computed form is 2.117 eV/f.u. The raw formation energy is -1.04 eV per atom. For the total energy, the calculation gives -25.655 eV per formula unit.

# 12
YTe2P after structural relaxation, computed with GGA-PBE.

Unit cell a=5.476 b=5.476 c=5.119 alpha=70.06 beta=70.06 gamma=111.13
Sites, in units of the cell vectors:
Te 0.500 0.000 0.000
Te 0.000 0.500 0.000
P 0.500 0.500 0.500
Y 0.000 0.000 0.500

Summary:
The raw formation energy is -0.42 eV per atom. For the total energy, the calculation gives -19.855 eV per formula unit.

# 13
YTe3P after structural relaxation, computed with GGA-PBE.

Unit cell a=5.868 b=5.868 c=5.868 alpha=90.00 beta=90.00 gamma=90.00
Each line ends with the local moment (μB).
Sites, in units of the cell vectors:
Te 0.000 0.000 0.500  -0.36
Te 0.500 0.000 0.000  -0.18
Te 0.000 0.500 0.000  -0.27
Y 0.000 0.000 0.000  0.04
P 0.500 0.500 0.500  0.99

Summary:
The value obtained for the offset from the most stable computed form is 2.797 eV/f.u. The raw formation energy is 0.39 eV per atom. For the total energy, the calculation gives -19.349 eV per formula unit.

# 14
Y4TeP3 after structural relaxation, computed with GGA-PBE.

Unit cell a=4.079 b=4.079 c=27.108 alpha=90.00 beta=90.00 gamma=120.00
Sites, in units of the cell vectors:
Y 0.000 0.000 0.327
Y 0.000 0.000 0.673
Y 0.333 0.667 0.057
Y 0.667 0.333 0.943
Y 0.667 0.333 0.557
Y 0.000 0.000 0.827
Y 0.000 0.000 0.173
Y 0.333 0.667 0.443
P 0.333 0.667 0.881
P 0.667 0.333 0.119
P 0.667 0.333 0.381
P 0.333 0.667 0.619
P 0.000 0.000 0.000
P 0.000 0.000 0.500
Te 0.333 0.667 0.250
Te 0.667 0.333 0.750

Summary:
The raw formation energy is -1.63 eV per atom. For the total energy, the calculation gives -58.237 eV per formula unit.

# 15
Y3TeP after structural relaxation, computed with GGA-PBE.

Unit cell a=5.273 b=5.273 c=5.273 alpha=90.00 beta=90.00 gamma=90.00
Sites, in units of the cell vectors:
P 0.000 0.000 0.000
Y 0.000 0.000 0.500
Y 0.000 0.500 0.000
Y 0.500 0.000 0.000
Te 0.500 0.500 0.500

Summary:
The value obtained for the offset from the most stable computed form is 2.154 eV/f.u. The raw formation energy is -0.73 eV per atom. For the total energy, the calculation gives -31.608 eV per formula unit.

# 16
YTeP4 after structural relaxation, computed with GGA-PBE.

Unit cell a=5.561 b=5.561 c=5.561 alpha=60.00 beta=60.00 gamma=60.00
Sites, in units of the cell vectors:
P 0.396 0.396 0.813
P 0.396 0.813 0.396
P 0.813 0.396 0.396
P 0.396 0.396 0.396
Y 0.000 0.000 0.000
Te 0.750 0.750 0.750

Summary:
The raw formation energy is -0.03 eV per atom. For the total energy, the calculation gives -31.426 eV per formula unit.

# 17
YTe2P after structural relaxation, computed with GGA-PBE.

Unit cell a=5.212 b=5.212 c=6.668 alpha=85.43 beta=85.43 gamma=45.27
Sites, in units of the cell vectors:
P 0.197 0.197 0.633
Te 0.007 0.007 0.938
Te 0.808 0.808 0.340
Y 0.488 0.488 0.589

Summary:
The raw formation energy is -0.59 eV per atom. For the total energy, the calculation gives -20.530 eV per formula unit.

# 18
Y8ZnTe4P3 after structural relaxation, computed with GGA-PBE.

Unit cell a=8.318 b=8.522 c=8.318 alpha=119.21 beta=120.00 gamma=90.00
Sites, in units of the cell vectors:
Y 0.736 0.709 0.472
Y 0.759 0.282 0.517
Y 0.264 0.291 0.528
Y 0.241 0.718 0.976
Y 0.241 0.718 0.483
Y 0.759 0.282 0.024
Y 0.735 0.718 0.976
Y 0.265 0.282 0.024
Te 0.500 0.000 0.500
Te 0.000 0.000 0.000
Te 0.500 0.000 0.000
Te 0.000 0.000 0.500
P 0.500 0.500 0.500
P 0.000 0.500 0.500
P 0.500 0.500 0.000
Zn 0.000 0.500 0.000

Summary:
The raw formation energy is -1.36 eV per atom. For the total energy, the calculation gives -103.564 eV per formula unit.

# 19
YZrTe2P after structural relaxation, computed with GGA-PBE.

Unit cell a=5.295 b=5.068 c=5.295 alpha=90.00 beta=90.00 gamma=90.00
Sites, in units of the cell vectors:
Te 0.500 0.000 0.000
Te 0.000 0.000 0.500
P 0.000 0.000 0.000
Zr 0.500 0.500 0.500
Y 0.000 0.500 0.000

Summary:
The raw formation energy is 0.19 eV per atom. For the total energy, the calculation gives -25.770 eV per formula unit.

# 20
ZnTeP2 after structural relaxation, computed with GGA-PBE.

Unit cell a=3.384 b=4.731 c=4.648 alpha=90.00 beta=90.00 gamma=90.00
Sites, in units of the cell vectors:
P 0.000 0.000 0.000
P 0.500 0.500 0.000
Te 0.500 0.000 0.500
Zn 0.000 0.500 0.500

Summary:
The value obtained for the offset from the most stable computed form is 2.218 eV/f.u. The raw formation energy is 0.62 eV per atom. For the total energy, the calculation gives -12.770 eV per formula unit.